Density functional theory data (PBE with a Hubbard U) for a relaxed structure of MoSeIO2.

abc: 3.994 5.856 3.994
angles: 90.00 90.00 90.00
Last column: magnetic moment on the atom in μB.
Sites, in units of the cell vectors:
Mo1 0.000 0.000 0.000  1.86
I1 0.500 0.500 0.500  -0.02
O1 0.500 0.000 0.000  -0.24
O2 0.000 0.000 0.500  -0.08
Se1 0.000 0.500 0.000  -0.07

Summary:
Calculated total energy ... -5.017 eV per atom
Density ... 5.93 Mg/m³
Crystal system ... tetragonal